(1)
Density functional theory data (GGA-PBE) for a relaxed structure of NbCr3Cu.

a b c (Å): 4.442 4.442 4.442
angles (deg): 90.00 90.00 90.00
Space group Pm-3m (No. 221)
One atom of each set of equivalent atoms:
Nb  0.000  0.000  0.000 [1 per cell]
Cr  0.000  0.500  0.500 [3 per cell]
Cu  0.500  0.500  0.500 [1 per cell]

total energy	-36.3	eV for the cell shown
energy of formation from the pure elements	130	kJ/mol of atoms
DOS(E_F)	6.6	states/eV/f.u.
ΔE to the lowest computed polymorph	0.00	eV/f.u.
volume	17.53	Å³ per atom

---

(2)
Density functional theory data (GGA-PBE) for a relaxed structure of NbCrCu4.

a b c (Å): 6.856 6.856 6.856
angles (deg): 90.00 90.00 90.00
Space group F-43m (No. 216)
One atom of each set of equivalent atoms:
Nb  0.000  0.000  0.000 [4 per cell]
Cr  0.250  0.250  0.750 [4 per cell]
Cu  0.125  0.125  0.375 [16 per cell]

total energy	-140.5	eV for the cell shown
energy of formation from the pure elements	15	kJ/mol of atoms
DOS(E_F)	5.6	states/eV/f.u.
volume	13.43	Å³ per atom

---

(3)
Density functional theory data (GGA-PBE) for a relaxed structure of NbCr3Cu.

a b c (Å): 4.462 4.462 4.462
angles (deg): 90.00 90.00 90.00
Space group Pm-3m (No. 221)
One atom of each set of equivalent atoms:
Nb  0.000  0.000  0.000 [1 per cell]
Cr  0.000  0.000  0.500 [3 per cell]
Cu  0.500  0.500  0.500 [1 per cell]

total energy	-33.2	eV for the cell shown
energy of formation from the pure elements	189	kJ/mol of atoms
DOS(E_F)	6.6	states/eV/f.u.
ΔE to the lowest computed polymorph	3.08	eV/f.u.
volume	17.77	Å³ per atom

---

(4)
Density functional theory data (GGA-PBE) for a relaxed structure of Nb2Cr2Cu.

a b c (Å): 6.392 6.392 3.679
angles (deg): 90.00 90.00 90.00
Space group P4/mbm (No. 127)
One atom of each set of equivalent atoms:
Nb  0.184  0.316  0.000 [4 per cell]
Cr  0.114  0.614  0.500 [4 per cell]
Cu  0.000  0.000  0.500 [2 per cell]

total energy	-84.0	eV for the cell shown
energy of formation from the pure elements	28	kJ/mol of atoms
DOS(E_F)	4.4	states/eV/f.u.
volume	15.03	Å³ per atom